1.
An optimized crystal structure of BaHfTc. Source: Alexandria via LeMat-Bulk, functional PBE.

Lattice parameters (Å, degrees): 4.7789 4.7789 10.2769 92.63 92.63 61.45
Sites, in units of the cell vectors:
Ba 0.1533 0.1533 0.3120
Ba 0.8467 0.8467 0.6880
Hf 0.1733 0.1733 0.9427
Hf 0.8267 0.8267 0.0573
Tc 0.4495 0.4495 0.1056
Tc 0.5505 0.5505 0.8944

- Space group: C2/m, No. 12
- ΔE_f: 19.80 kJ/mol of atoms
- M_tot: 0.000 μB per cell
- Relative energy among the computed polymorphs: 0.1228 eV/atom

2.
An optimized crystal structure of BaHfTc. Source: Alexandria via LeMat-Bulk, functional PBE.

Lattice parameters (Å, degrees): 7.1323 7.1323 7.1323 151.88 151.88 40.19
Sites, in units of the cell vectors:
Ba 0.0000 0.0000 0.0000
Hf 0.7362 0.7362 0.0000
Tc 0.3233 0.3233 0.0000

- Space group: I4mm, No. 107
- ΔE_f: 32.73 kJ/mol of atoms
- M_tot: 0.000 μB per cell
- Relative energy among the computed polymorphs: 0.2569 eV/atom

3.
An optimized crystal structure of BaHfTc. Source: Alexandria via LeMat-Bulk, functional PBE.

Lattice parameters (Å, degrees): 3.3659 4.4599 11.5559 90.00 91.14 90.00
Sites, in units of the cell vectors:
Ba 0.1858 0.2500 0.1567
Ba 0.8142 0.7500 0.8433
Hf 0.4993 0.2500 0.5971
Hf 0.5007 0.7500 0.4029
Tc 0.0170 0.7500 0.5975
Tc 0.9830 0.2500 0.4025

- Space group: P2_1/m, No. 11
- ΔE_f: 8.92 kJ/mol of atoms
- M_tot: 0.000 μB per cell
- Relative energy among the computed polymorphs: 0.0100 eV/atom

4.
An optimized crystal structure of BaHf3Tc. Source: Alexandria via LeMat-Bulk, functional PBE.

Lattice parameters (Å, degrees): 5.1280 5.1280 5.1280 90.00 90.00 90.00
Sites, in units of the cell vectors:
Ba 0.0000 0.0000 0.0000
Hf 0.0000 0.0000 0.5000
Hf 0.0000 0.5000 0.0000
Hf 0.5000 0.0000 0.0000
Tc 0.5000 0.5000 0.5000

- Space group: Pm-3m, No. 221
- ΔE_f: 245.73 kJ/mol of atoms
- M_tot: 0.000 μB per cell
- Relative energy among the computed polymorphs: 2.1632 eV/atom

5.
An optimized crystal structure of BaHfTc. Source: Alexandria via LeMat-Bulk, functional PBE.

Lattice parameters (Å, degrees): 4.9952 4.9952 11.9109 106.94 106.94 41.61
Sites, in units of the cell vectors:
Ba 0.1851 0.1851 0.1652
Ba 0.8149 0.8149 0.8348
Hf 0.3946 0.3946 0.5729
Hf 0.6054 0.6054 0.4271
Tc 0.1343 0.1343 0.6126
Tc 0.8657 0.8657 0.3874

- Space group: C2/m, No. 12
- ΔE_f: 18.34 kJ/mol of atoms
- M_tot: 0.000 μB per cell
- Relative energy among the computed polymorphs: 0.1077 eV/atom

6.
An optimized crystal structure of Ba2HfTc. Source: Alexandria via LeMat-Bulk, functional PBE.

Lattice parameters (Å, degrees): 5.5310 5.5310 5.5310 60.00 60.00 60.00
Sites, in units of the cell vectors:
Ba 0.2500 0.2500 0.2500
Ba 0.7500 0.7500 0.7500
Hf 0.0000 0.0000 0.0000
Tc 0.5000 0.5000 0.5000

- Space group: Fm-3m, No. 225
- ΔE_f: 124.66 kJ/mol of atoms
- M_tot: 0.749 μB per cell
- Relative energy among the computed polymorphs: 0.5166 eV/atom

7.
An optimized crystal structure of Ba2HfTc. Source: Alexandria via LeMat-Bulk, functional PBE.

Lattice parameters (Å, degrees): 9.0121 9.0121 9.0121 94.12 94.12 148.90
Sites, in units of the cell vectors:
Ba 0.3750 0.1960 0.3210
Ba 0.8040 0.1250 0.1790
Ba 0.8750 0.0540 0.6790
Ba 0.9460 0.6250 0.8210
Hf 0.2500 0.7500 0.5000
Hf 0.5000 0.5000 0.0000
Tc 0.0000 0.0000 0.0000
Tc 0.7500 0.2500 0.5000

- Space group: I-42d, No. 122
- ΔE_f: 74.81 kJ/mol of atoms
- M_tot: 0.000 μB per cell
- Relative energy among the computed polymorphs: 0.0000 eV/atom

8.
An optimized crystal structure of BaHf2Te. Source: Alexandria via LeMat-Bulk, functional PBE.

Lattice parameters (Å, degrees): 11.2517 11.2517 11.2517 154.49 154.49 36.38
Sites, in units of the cell vectors:
Ba 0.0000 0.0000 0.0000
Ba 0.7500 0.2500 0.5000
Hf 0.2682 0.6250 0.1432
Hf 0.3750 0.5182 0.6432
Hf 0.4818 0.1250 0.8568
Hf 0.8750 0.7318 0.3568
Te 0.2500 0.7500 0.5000
Te 0.5000 0.5000 0.0000

- Space group: I-42d, No. 122
- M_tot: 0.000 μB per cell
- ΔE_f (raw): 0.276 eV/atom

- The highest M_tot belongs to which entry?
  number 6

- What is the formula in the first record?
  BaHfTc

- Look up the M_tot of the sixth one.
  0.749 μB per cell